1.
The following is a GGA-PBE calculation of crystalline PrCd4Au2 at its relaxed geometry, from Alexandria via LeMat-Bulk.

Values from the calculation:
Calculated density   10027 kg/m3
Formation enthalpy at 0 K   -0.358 eV/atom

abc: 4.2212 4.2982 9.2390
angles: 103.45 90.00 90.00
Fractional coordinates of all 7 atoms:
Pr 0.0000 0.0000 0.0000
Cd 0.5000 0.8191 0.6382
Cd 0.0000 0.6844 0.3688
Cd 0.5000 0.1809 0.3618
Cd 0.0000 0.3156 0.6312
Au 0.5000 0.5755 0.1510
Au 0.5000 0.4245 0.8490

---

2.
The following is a GGA-PBE calculation of crystalline MgOsW at its relaxed geometry, from Alexandria via LeMat-Bulk.

Values from the calculation:
Calculated density   11948 kg/m3
Formation enthalpy at 0 K   0.510 eV/atom

abc: 4.2781 4.2781 4.2781
angles: 60.00 60.00 60.00
Fractional coordinates of all 3 atoms:
Mg 0.5000 0.5000 0.5000
Os 0.7500 0.7500 0.7500
W 0.0000 0.0000 0.0000

---

3.
The following is a GGA-PBE calculation of crystalline AlZn2Ga at its relaxed geometry, from Alexandria via LeMat-Bulk.

Values from the calculation:
Calculated density   5614 kg/m3
Formation enthalpy at 0 K   0.105 eV/atom

abc: 3.1946 3.1946 6.5942
angles: 90.00 90.00 90.00
Fractional coordinates of all 4 atoms:
Zn 0.0000 0.0000 0.7545
Zn 0.0000 0.0000 0.2455
Al 0.5000 0.5000 0.0000
Ga 0.5000 0.5000 0.5000

---

4.
The following is a GGA-PBE calculation of crystalline ReWN2 at its relaxed geometry, from Alexandria via LeMat-Bulk.

Values from the calculation:
Calculated density   16358 kg/m3
Formation energy (no corrections)   3.79 eV/f.u.

abc: 3.8518 3.8518 3.8518
angles: 60.00 60.00 60.00
Fractional coordinates of all 4 atoms:
Re 0.5000 0.5000 0.5000
W 0.0000 0.0000 0.0000
N 0.2500 0.2500 0.2500
N 0.7500 0.7500 0.7500

---

5.
The following is a GGA-PBE calculation of crystalline Rb2FeI6Cl at its relaxed geometry, from Alexandria via LeMat-Bulk.

Values from the calculation:
Calculated density   4158 kg/m3
Formation energy (no corrections)   -5.93 eV/f.u.

abc: 8.3017 8.3017 8.3451
angles: 60.17 60.17 90.00
Fractional coordinates of all 10 atoms:
I 0.2233 0.2233 0.5535
I 0.7767 0.7767 0.4465
I 0.2320 0.2320 0.0000
I 0.7680 0.7680 0.0000
I 0.7680 0.2320 0.0000
I 0.2320 0.7680 0.0000
Fe 0.0000 0.0000 0.0000
Rb 0.7500 0.2500 0.5000
Rb 0.2500 0.7500 0.5000
Cl 0.5000 0.5000 0.0000

---

6.
The following is a GGA-PBE calculation of crystalline ScTa2RhBr at its relaxed geometry, from Alexandria via LeMat-Bulk.

Values from the calculation:
Calculated density   8104 kg/m3
Formation energy (no corrections)   5.22 eV/f.u.

abc: 4.8438 5.1495 4.8438
angles: 90.00 90.00 90.00
Fractional coordinates of all 5 atoms:
Sc 0.5000 0.5000 0.5000
Rh 0.0000 0.0000 0.0000
Br 0.0000 0.5000 0.0000
Ta 0.0000 0.0000 0.5000
Ta 0.5000 0.0000 0.0000